Record 1
A plane-wave DFT calculation with GGA-PBE was carried out for an optimized crystal structure of Rb2GaPbI5.

Cell: 10.7663 10.7663 16.6334 Å, 90.00 90.00 153.59°
Element x y z (fractional)
Rb (0.0874, 0.9126, 0.5000)
Rb (0.1309, 0.8691, 0.1467)
Rb (0.8691, 0.1309, 0.6467)
Rb (0.9126, 0.0874, 0.0000)
Ga (0.4557, 0.5443, 0.2983)
Ga (0.5443, 0.4557, 0.7983)
Pb (0.2260, 0.7740, 0.8750)
Pb (0.7740, 0.2260, 0.3750)
I (0.0769, 0.9231, 0.9164)
I (0.2618, 0.7382, 0.5109)
I (0.3002, 0.6998, 0.2474)
I (0.3787, 0.6213, 0.8332)
I (0.4993, 0.5007, 0.1169)
I (0.5007, 0.4993, 0.6169)
I (0.6213, 0.3787, 0.3332)
I (0.6998, 0.3002, 0.7474)
I (0.7382, 0.2618, 0.0109)
I (0.9231, 0.0769, 0.4164)

Output
- Total moment: 0.0 Bohr magnetons per cell
- E_form (uncorrected): -0.939 eV/atom
- SG: Cmc2_1 (36)

Record 2
A plane-wave DFT calculation with GGA-PBE was carried out for an optimized crystal structure of BeBPdAu.

Cell: 2.9335 5.6092 5.6092 Å, 31.96 90.00 90.00°
Element x y z (fractional)
Be (0.0000, 0.0000, 0.0000)
B (0.0000, 0.1952, 0.1952)
Pd (0.5000, 0.6316, 0.6316)
Au (0.5000, 0.3617, 0.3617)

Output
- Total moment: 0.0 Bohr magnetons per cell
- E above lowest polymorph: 0.034 eV/atom
- SG: Amm2 (38)
- DFT formation energy: 0.04 eV/atom

Record 3
A plane-wave DFT calculation with GGA-PBE was carried out for an optimized crystal structure of BaRe2Hg.

Cell: 5.3253 5.3253 6.0726 Å, 107.48 107.48 42.70°
Element x y z (fractional)
Ba (0.0000, 0.0000, 0.0000)
Re (0.2318, 0.2318, 0.6000)
Re (0.7682, 0.7682, 0.4000)
Hg (0.5000, 0.5000, 0.5000)

Output
- Total moment: 0.0 Bohr magnetons per cell
- SG: C2/m (12)
- DFT formation energy: 0.76 eV/atom

Record 4
A plane-wave DFT calculation with GGA-PBE was carried out for an optimized crystal structure of CdPb5Au4.

Cell: 8.2479 8.2479 7.3964 Å, 98.84 98.84 32.65°
Element x y z (fractional)
Cd (0.0000, 0.0000, 0.0000)
Pb (0.0000, 0.0000, 0.5000)
Pb (0.3297, 0.3297, 0.9457)
Pb (0.3333, 0.3333, 0.4405)
Pb (0.6667, 0.6667, 0.5595)
Pb (0.6703, 0.6703, 0.0543)
Au (0.1469, 0.1469, 0.2887)
Au (0.4883, 0.4883, 0.2246)
Au (0.5117, 0.5117, 0.7754)
Au (0.8531, 0.8531, 0.7113)

Output
- Total moment: 0.0 Bohr magnetons per cell
- SG: C2/m (12)
- DFT formation energy: -0.06 eV/atom

Record 5
A plane-wave DFT calculation with GGA-PBE was carried out for an optimized crystal structure of AcPrSe.

Cell: 4.0457 4.0457 14.4706 Å, 90.00 90.00 120.00°
Element x y z (fractional)
Ac (0.0000, 0.0000, 0.0000)
Ac (0.3333, 0.6667, 0.5000)
Pr (0.3333, 0.6667, 0.2137)
Pr (0.3333, 0.6667, 0.7863)
Se (0.0000, 0.0000, 0.3513)
Se (0.0000, 0.0000, 0.6487)

Output
- Total moment: 0.7 Bohr magnetons per cell
- E above lowest polymorph: 0.002 eV/atom
- E_form (uncorrected): -1.078 eV/atom
- SG: P-6m2 (187)

Record 6
A plane-wave DFT calculation with GGA-PBE was carried out for an optimized crystal structure of BaCaAu10.

Cell: 4.6702 5.7034 9.9646 Å, 90.00 90.00 90.00°
Element x y z (fractional)
Ba (0.0000, 0.0000, 0.0000)
Ca (0.0000, 0.5000, 0.5000)
Au (0.0000, 0.0000, 0.3438)
Au (0.0000, 0.0000, 0.6562)
Au (0.0000, 0.5000, 0.1830)
Au (0.0000, 0.5000, 0.8170)
Au (0.5000, 0.0000, 0.5000)
Au (0.5000, 0.2502, 0.2523)
Au (0.5000, 0.2502, 0.7477)
Au (0.5000, 0.5000, 0.0000)
Au (0.5000, 0.7498, 0.2523)
Au (0.5000, 0.7498, 0.7477)

Output
- Total moment: 0.0 Bohr magnetons per cell
- SG: Pmmm (47)
- DFT formation energy: -0.42 eV/atom

Record 7
A plane-wave DFT calculation with GGA-PBE was carried out for an optimized crystal structure of Mg2InGaIr.

Cell: 5.0638 5.0638 4.7872 Å, 90.00 90.00 90.00°
Element x y z (fractional)
Mg (0.0000, 0.5000, 0.0000)
Mg (0.5000, 0.0000, 0.0000)
In (0.0000, 0.0000, 0.5000)
Ga (0.5000, 0.5000, 0.5000)
Ir (0.5000, 0.5000, 0.0000)

Output
- Total moment: 0.0 Bohr magnetons per cell
- SG: P4/mmm (123)
- DFT formation energy: -0.11 eV/atom

Record 8
A plane-wave DFT calculation with GGA-PBE was carried out for an optimized crystal structure of CePa2Si3Ir4.

Cell: 4.0811 4.0811 11.1360 Å, 90.00 90.00 90.00°
Element x y z (fractional)
Ce (0.0000, 0.0000, 0.0000)
Pa (0.0000, 0.5000, 0.7279)
Pa (0.5000, 0.0000, 0.2721)
Si (0.0000, 0.5000, 0.3809)
Si (0.5000, 0.0000, 0.6191)
Si (0.5000, 0.5000, 0.0000)
Ir (0.0000, 0.0000, 0.5000)
Ir (0.0000, 0.5000, 0.1680)
Ir (0.5000, 0.0000, 0.8320)
Ir (0.5000, 0.5000, 0.5000)

Output
- Total moment: 0.0 Bohr magnetons per cell
- E_form (uncorrected): -0.829 eV/atom
- SG: P-4m2 (115)

- Which formula does entry 5 have?
  AcPrSe

Copy entry 3 word for word.
A plane-wave DFT calculation with GGA-PBE was carried out for an optimized crystal structure of BaRe2Hg.

Cell: 5.3253 5.3253 6.0726 Å, 107.48 107.48 42.70°
Element x y z (fractional)
Ba (0.0000, 0.0000, 0.0000)
Re (0.2318, 0.2318, 0.6000)
Re (0.7682, 0.7682, 0.4000)
Hg (0.5000, 0.5000, 0.5000)

Output
- Total moment: 0.0 Bohr magnetons per cell
- SG: C2/m (12)
- DFT formation energy: 0.76 eV/atom

- total moment of number 8 (CePa2Si3Ir4)?
  0.0 Bohr magnetons per cell